1.
Density functional theory data (PBE) for an optimized crystal structure of HoSc2Ir2.

Output
D(E_F)	3.5	states/eV/f.u.
total magnetic moment	0.000	μB/f.u.
DFT total energy	-39.04	eV per cell
ΔE_f	-0.8164	eV per atom

Cell: 4.6303 4.6303 5.6611 Å, 90.00 90.00 120.00°
Space group P-3m1 (No. 164)
Symmetry-distinct sites (fractional):
1 Ho 0.0000 0.0000 0.0000
2 Sc 0.3333 0.6667 0.3443
3 Ir 0.3333 0.6667 0.8231

***

2.
Density functional theory data (PBE) for an optimized crystal structure of KAlAg3.

Output
D(E_F)	2.9	states/eV/f.u.
total magnetic moment	0.000	μB/f.u.
DFT total energy	-7.27	eV per cell
ΔE_f	1.2248	eV per atom

Cell: 5.647 5.647 5.647 Å, 90.00 90.00 90.00°
Space group Pm-3m (No. 221)
Symmetry-distinct sites (fractional):
1 K 0.000 0.000 0.000
2 Al 0.500 0.500 0.500
3 Ag 0.000 0.000 0.500

***

3.
Density functional theory data (PBE) for an optimized crystal structure of MnHgPd4.

Output
D(E_F)	2.6	states/eV/f.u.
total magnetic moment	4.757	μB/f.u.
DFT total energy	-31.15	eV per cell
ΔE_f	-0.1512	eV per atom

Cell: 3.065 3.065 10.358 Å, 90.00 90.00 90.00°
Space group P4/mmm (No. 123)
Symmetry-distinct sites (fractional):
1 Mn 0.000 0.000 0.000
2 Hg 0.500 0.500 0.500
3 Pd 0.000 0.000 0.321
4 Pd 0.500 0.500 0.148

***

4.
Density functional theory data (PBE) for an optimized crystal structure of FeReIr4.

Output
D(E_F)	4.3	states/eV/f.u.
total magnetic moment	3.192	μB/f.u.
DFT total energy	-109.02	eV per cell
ΔE_f	0.3072	eV per atom

Cell: 7.173 4.145 7.080 Å, 90.00 109.80 90.00°
Space group C2/m (No. 12)
Symmetry-distinct sites (fractional):
1 Fe 0.000 0.000 0.000
2 Re 0.000 0.500 0.500
3 Ir 0.124 0.000 0.371
4 Ir 0.127 0.500 0.881

***

5.
Density functional theory data (PBE) for an optimized crystal structure of Sr2AlGe3Pd4.

Output
D(E_F)	5.8	states/eV/f.u.
total magnetic moment	0.000	μB/f.u.
DFT total energy	-48.94	eV per cell
ΔE_f	-0.7208	eV per atom

Cell: 4.352 4.352 10.628 Å, 90.00 90.00 90.00°
Space group P-4m2 (No. 115)
Symmetry-distinct sites (fractional):
1 Sr 0.000 0.500 0.249
2 Al 0.000 0.000 0.500
3 Ge 0.000 0.500 0.873
4 Ge 0.500 0.500 0.500
5 Pd 0.000 0.000 0.000
6 Pd 0.000 0.500 0.630
7 Pd 0.500 0.500 0.000

***

6.
Density functional theory data (PBE) for an optimized crystal structure of Th2NpUAs4.

Output
D(E_F)	16.1	states/eV/f.u.
total magnetic moment	6.485	μB/f.u.
DFT total energy	-66.06	eV per cell
ΔE_f	-1.0488	eV per atom

Cell: 7.210 4.169 7.286 Å, 90.00 109.32 90.00°
Space group P2/m (No. 10)
Symmetry-distinct sites (fractional):
1 Th 0.000 0.000 0.000
2 Th 0.500 0.500 0.000
3 Np 0.000 0.500 0.500
4 U 0.500 0.000 0.500
5 As 0.248 0.000 0.739
6 As 0.255 0.500 0.261

***

7.
Density functional theory data (PBE) for an optimized crystal structure of Cs2SrAcCl6.

Output
ΔE_f (raw)	-2094	meV per atom
D(E_F)	2.5	states/eV/f.u.
total magnetic moment	0.780	μB/f.u.
DFT total energy	-79.04	eV per cell

Cell: 7.747 11.565 8.807 Å, 90.00 90.00 90.00°
Space group Pmmn (No. 59, origin choice 2)
Symmetry-distinct sites (fractional):
1 Cs 0.250 0.014 0.215
2 Sr 0.250 0.750 0.757
3 Ac 0.250 0.250 0.736
4 Cl 0.016 0.250 0.011
5 Cl 0.025 0.250 0.462
6 Cl 0.250 0.001 0.778

***

8.
Density functional theory data (PBE) for an optimized crystal structure of Li5RhAu.

Output
D(E_F)	3.5	states/eV/f.u.
total magnetic moment	0.000	μB/f.u.
DFT total energy	-21.30	eV per cell
ΔE_f	-0.1574	eV per atom

Cell: 4.093 4.093 6.696 Å, 90.00 90.00 90.00°
Space group P4/mmm (No. 123)
Symmetry-distinct sites (fractional):
1 Li 0.000 0.000 0.000
2 Li 0.000 0.500 0.256
3 Rh 0.500 0.500 0.000
4 Au 0.000 0.000 0.500